Record 1
First-principles (PBE-GGA) data for a geometry-optimized KCd5Pt2 structure, as listed in the Alexandria database.

Cell and atoms, written as CIF:
```
data_KCd5Pt2
_symmetry_space_group_name_H-M 'I m m m'
_symmetry_Int_Tables_number 71
_symmetry_space_group_name_Hall '-I 2 2'
_cell_length_a 4.4087
_cell_length_b 8.1332
_cell_length_c 11.1395
_cell_angle_alpha 90.00
_cell_angle_beta 90.00
_cell_angle_gamma 90.00
loop_
_atom_site_label
_atom_site_fract_x
_atom_site_fract_y
_atom_site_fract_z
K1 0.0000 0.0000 0.0000
Cd1 0.0000 0.1907 0.3407
Cd2 0.0000 0.5000 0.0000
Pt1 0.0000 0.5000 0.2406
```

calculated formation energy = -0.217 eV per atom
Fermi-level density of states = 4.6 states/eV per cell

Record 2
First-principles (PBE-GGA) data for a geometry-optimized Ac4PdPtAu2 structure, as listed in the Alexandria database.

Cell and atoms, written as CIF:
```
data_Ac4PdPtAu2
_symmetry_space_group_name_H-M 'P 1 2/m 1'
_symmetry_Int_Tables_number 10
_symmetry_space_group_name_Hall '-P 2y'
_cell_length_a 7.6983
_cell_length_b 4.4619
_cell_length_c 7.8644
_cell_angle_alpha 90.00
_cell_angle_beta 109.04
_cell_angle_gamma 90.00
loop_
_atom_site_label
_atom_site_fract_x
_atom_site_fract_y
_atom_site_fract_z
Ac1 0.2420 0.0000 0.2332
Ac2 0.2529 0.5000 0.7654
Pd1 0.5000 0.0000 0.0000
Pt1 0.0000 0.5000 0.0000
Au1 0.0000 0.0000 0.5000
Au2 0.5000 0.5000 0.5000
```

calculated formation energy = -0.906 eV per atom
Fermi-level density of states = 3.2 states/eV per cell

Record 3
First-principles (PBE-GGA) data for a geometry-optimized HgIr4Rh structure, as listed in the Alexandria database.

Cell and atoms, written as CIF:
```
data_HgIr4Rh
_symmetry_space_group_name_H-M 'F -4 3 m'
_symmetry_Int_Tables_number 216
_symmetry_space_group_name_Hall 'F -4 2 3'
_cell_length_a 7.3634
_cell_length_b 7.3634
_cell_length_c 7.3634
_cell_angle_alpha 90.00
_cell_angle_beta 90.00
_cell_angle_gamma 90.00
loop_
_atom_site_label
_atom_site_fract_x
_atom_site_fract_y
_atom_site_fract_z
Hg1 0.0000 0.0000 0.0000
Ir1 0.1247 0.1247 0.6247
Rh1 0.2500 0.2500 0.2500
```

calculated formation energy = 0.632 eV per atom
Fermi-level density of states = 49.3 states/eV per cell

Record 4
First-principles (PBE-GGA) data for a geometry-optimized LiFeIr2 structure, as listed in the Alexandria database.

Cell and atoms, written as CIF:
```
data_LiFeIr2
_symmetry_space_group_name_H-M 'P 1 m 1'
_symmetry_Int_Tables_number 6
_symmetry_space_group_name_Hall 'P -2y'
_cell_length_a 2.6343
_cell_length_b 4.0558
_cell_length_c 5.0090
_cell_angle_alpha 90.00
_cell_angle_beta 105.15
_cell_angle_gamma 90.00
loop_
_atom_site_label
_atom_site_fract_x
_atom_site_fract_y
_atom_site_fract_z
Li1 0.0000 0.0000 0.0000
Fe1 0.1572 0.5000 0.2529
Ir1 0.4019 0.5000 0.7734
Ir2 0.7620 0.0000 0.4874
```

calculated formation energy = 0.009 eV per atom
Fermi-level density of states = 3.2 states/eV per cell

Record 5
First-principles (PBE-GGA) data for a geometry-optimized Pr12NiHg6 structure, as listed in the Alexandria database.

Cell and atoms, written as CIF:
```
data_Pr12NiHg6
_symmetry_space_group_name_H-M 'R -3'
_symmetry_Int_Tables_number 148
_symmetry_space_group_name_Hall '-R 3'
_cell_length_a 12.4726
_cell_length_b 12.4726
_cell_length_c 13.6161
_cell_angle_alpha 90.00
_cell_angle_beta 90.00
_cell_angle_gamma 120.00
loop_
_atom_site_label
_atom_site_fract_x
_atom_site_fract_y
_atom_site_fract_z
Pr1 0.0385 0.8483 0.3881
Pr2 0.0390 0.1917 0.8769
Ni1 0.0000 0.0000 0.0000
Hg1 0.0035 0.6024 0.2556
```

calculated formation energy = -0.225 eV per atom
Fermi-level density of states = 79.2 states/eV per cell

> Look up the Fermi-level density of states of the fourth one.

3.2 states/eV per cell